Entry 1:
Ru2SeBr at its PBEsol-relaxed geometry, computed with SCAN.

Lattice parameters (Å, degrees): 2.963 2.963 9.360 80.89 80.89 60.00
Atoms (fractional coordinates):
Se  0.479  0.479  0.563
Ru  0.006  0.006  0.983
Ru  0.747  0.747  0.758
Br  0.268  0.268  0.195

## Properties
- Formation energy from raw total energies: 0.398 eV/atom
- Crystal system: trigonal
- Relative energy among the computed polymorphs: 78 meV/atom
- Total DFT energy (no corrections): -107.60 eV for the cell shown
- Space group: No. 160

---

Entry 2:
Ru2SeBr at its PBEsol-relaxed geometry, computed with SCAN.

Lattice parameters (Å, degrees): 3.049 4.042 6.722 83.02 76.89 67.84
Atoms (fractional coordinates):
Ru  0.138  0.557  0.167
Ru  0.862  0.443  0.833
Se  0.500  0.000  0.000
Br  0.500  0.500  0.500

## Properties
- Formation energy from raw total energies: 0.320 eV/atom
- Crystal system: monoclinic
- Relative energy among the computed polymorphs: 0 meV/atom
- Total DFT energy (no corrections): -107.91 eV for the cell shown
- Space group: No. 12

---

Entry 3:
Ru2SeBr at its PBEsol-relaxed geometry, computed with SCAN.

Lattice parameters (Å, degrees): 2.924 2.924 8.084 90.00 90.00 90.00
Atoms (fractional coordinates):
Ru  0.500  0.500  0.235
Ru  0.000  0.000  0.027
Br  0.500  0.500  0.810
Se  0.000  0.000  0.429

## Properties
- Formation energy from raw total energies: 0.373 eV/atom
- Crystal system: tetragonal
- Relative energy among the computed polymorphs: 54 meV/atom
- Total DFT energy (no corrections): -107.70 eV for the cell shown
- Space group: No. 99

---

Entry 4:
RuSe2Br at its PBEsol-relaxed geometry, computed with SCAN.

Lattice parameters (Å, degrees): 3.304 3.304 8.797 79.18 79.18 60.00
Atoms (fractional coordinates):
Br  0.521  0.521  0.437
Se  0.981  0.981  0.056
Se  0.739  0.739  0.782
Ru  0.258  0.258  0.225

## Properties
- Formation energy from raw total energies: 0.209 eV/atom
- Crystal system: trigonal
- Relative energy among the computed polymorphs: 386 meV/atom
- Total DFT energy (no corrections): -93.61 eV for the cell shown
- Space group: No. 160

---

Entry 5:
Ru2SeBr at its PBEsol-relaxed geometry, computed with SCAN.

Lattice parameters (Å, degrees): 3.082 3.082 6.539 90.00 90.00 90.00
Atoms (fractional coordinates):
Ru  0.000  0.000  0.214
Ru  0.000  0.000  0.786
Se  0.500  0.500  0.000
Br  0.500  0.500  0.500

## Properties
- Formation energy from raw total energies: 0.667 eV/atom
- Crystal system: tetragonal
- Relative energy among the computed polymorphs: 348 meV/atom
- Total DFT energy (no corrections): -106.52 eV for the cell shown
- Space group: No. 123

---

Entry 6:
RuSe2Br at its PBEsol-relaxed geometry, computed with SCAN.

Lattice parameters (Å, degrees): 3.750 3.745 7.861 103.96 90.00 120.05
Atoms (fractional coordinates):
Se  0.113  0.226  0.343
Se  0.887  0.774  0.657
Ru  0.500  0.000  0.500
Br  0.000  0.000  0.000

## Properties
- Formation energy from raw total energies: -0.177 eV/atom
- Crystal system: monoclinic
- Relative energy among the computed polymorphs: 0 meV/atom
- Total DFT energy (no corrections): -95.15 eV for the cell shown
- Space group: No. 12

---

Entry 7:
RuSe2Br at its PBEsol-relaxed geometry, computed with SCAN.

Lattice parameters (Å, degrees): 2.989 4.768 6.111 112.96 104.15 90.00
Atoms (fractional coordinates):
Ru  0.000  0.500  0.000
Se  0.315  0.315  0.629
Se  0.685  0.685  0.371
Br  0.500  0.000  0.000

## Properties
- Formation energy from raw total energies: 0.312 eV/atom
- Crystal system: orthorhombic
- Relative energy among the computed polymorphs: 490 meV/atom
- Total DFT energy (no corrections): -93.19 eV for the cell shown
- Space group: No. 71

---

Entry 8:
SnRuSeBr2 at its PBEsol-relaxed geometry, computed with SCAN.

Lattice parameters (Å, degrees): 4.769 4.999 4.999 90.00 90.00 90.00
Atoms (fractional coordinates):
Sn  0.500  0.500  0.500
Br  0.000  0.000  0.500
Br  0.000  0.500  0.000
Se  0.500  0.000  0.000
Ru  0.000  0.000  0.000

## Properties
- Formation energy from raw total energies: 0.118 eV/atom
- Crystal system: tetragonal
- Total DFT energy (no corrections): -129.16 eV for the cell shown
- Space group: No. 123